(P)
Ce2Mg after structural relaxation, computed with PBE.

Cell: 6.1957 6.1957 6.1957 Å, 60.00 60.00 60.00°
Last column: magnetic moment on the atom in μB.
Sites, in units of the cell vectors:
Ce  0.6250  0.1250  0.6250  0.78
Mg  0.2500  0.2500  0.2500  0.00
Ce  0.1250  0.6250  0.6250  0.78
Ce  0.6250  0.6250  0.6250  0.78
Ce  0.6250  0.6250  0.1250  0.78
Mg  0.0000  0.0000  0.0000  0.00

Properties
Calculated density ... 6.0 Mg/m³
Total moment ... 3.95 μB per cell
SG ... Fd-3m (227)

=====

(Q)
Ce2Mg after structural relaxation, computed with PBE.

Cell: 5.6958 5.6958 6.1737 Å, 64.84 64.84 66.15°
Last column: magnetic moment on the atom in μB.
Sites, in units of the cell vectors:
Ce  0.4489  0.2526  0.2721  0.11
Ce  0.2526  0.4489  0.7721  0.11
Mg  0.0998  0.9002  0.2500  0.00
Mg  0.9002  0.0998  0.7500  0.00
Ce  0.7474  0.5511  0.2279  0.11
Ce  0.5511  0.7474  0.7279  0.11

Properties
Calculated density ... 6.4 Mg/m³
Total moment ... 0.52 μB per cell
SG ... C2/c (15)

=====

(R)
Ce2Mg after structural relaxation, computed with PBE.

Cell: 3.1914 3.1914 17.1825 Å, 90.00 90.00 120.00°
Sites, in units of the cell vectors:
Ce  0.3333  0.6667  0.2540
Mg  0.3333  0.6667  0.5763
Ce  0.3333  0.6667  0.9162
Ce  0.6667  0.3333  0.0838
Ce  0.6667  0.3333  0.7460
Mg  0.6667  0.3333  0.4237

Properties
Calculated density ... 6.7 Mg/m³
Total moment ... 0.00 μB per cell
SG ... P-3m1 (164)

=====

(S)
Ce2Mg after structural relaxation, computed with PBE.

Cell: 6.5238 6.5238 6.5238 Å, 52.39 52.39 52.39°
Last column: magnetic moment on the atom in μB.
Sites, in units of the cell vectors:
Mg  0.8294  0.8294  0.8294  0.00
Ce  0.3079  0.6921  0.0000  0.57
Ce  0.5000  0.5000  0.5000  0.82
Ce  0.0000  0.3079  0.6921  0.57
Ce  0.6921  0.0000  0.3079  0.57
Mg  0.1706  0.1706  0.1706  0.00

Properties
Calculated density ... 6.3 Mg/m³
Total moment ... 3.28 μB per cell
SG ... R32 (155)

=====

(Q) has the most favorable energy; the next structure is 15 meV per atom above.

=====

(P)
Ce5Mg after structural relaxation, computed with PBE.

Cell: 3.2093 3.2093 17.3951 Å, 90.00 90.00 120.00°
Sites, in units of the cell vectors:
Ce  0.0000  0.0000  0.5000
Mg  0.6667  0.3333  0.0000
Ce  0.0000  0.0000  0.1682
Ce  0.6667  0.3333  0.6650
Ce  0.6667  0.3333  0.3350
Ce  0.0000  0.0000  0.8318

Properties
Calculated density ... 7.8 Mg/m³
Total moment ... 0.00 μB per cell
SG ... P-6m2 (187)

=====

(Q)
Ce5Mg after structural relaxation, computed with PBE.

Cell: 6.4664 6.4664 8.2751 Å, 69.94 69.94 28.59°
Sites, in units of the cell vectors:
Ce  0.9532  0.9532  0.6184
Ce  0.6510  0.6510  0.6682
Ce  0.3320  0.3320  0.3474
Mg  0.6223  0.6223  0.2652
Ce  0.9866  0.9866  0.0370
Ce  0.2882  0.2882  0.8971

Properties
Calculated density ... 7.8 Mg/m³
Total moment ... 0.00 μB per cell
SG ... Cm (8)

=====

(R)
Ce5Mg after structural relaxation, computed with PBE.

Cell: 3.2486 3.2486 14.7957 Å, 90.00 90.00 90.00°
Last column: magnetic moment on the atom in μB.
Sites, in units of the cell vectors:
Ce  0.5000  0.5000  0.1622  0.00
Ce  0.0000  0.0000  0.3266  0.28
Ce  0.0000  0.0000  0.0000  0.00
Ce  0.0000  0.0000  0.6734  0.28
Mg  0.5000  0.5000  0.5000  0.00
Ce  0.5000  0.5000  0.8378  0.00

Properties
Calculated density ... 7.7 Mg/m³
Total moment ... 0.68 μB per cell
SG ... P4/mmm (123)

=====

(R) has the most favorable energy; the next structure is 44 meV per atom above.

=====

(P)
Ce5Mg after structural relaxation, computed with PBE.

Cell: 3.2240 5.5707 9.0463 Å, 107.93 90.00 90.00°
Sites, in units of the cell vectors:
Ce  0.5000  0.8278  0.6556
Ce  0.0000  0.6514  0.3028
Mg  0.0000  0.0000  0.0000
Ce  0.0000  0.3486  0.6972
Ce  0.5000  0.5000  0.0000
Ce  0.5000  0.1722  0.3444

Properties
Calculated density ... 7.8 Mg/m³
Total moment ... 0.00 μB per cell
SG ... Cmmm (65)

=====

(Q)
Ce5Mg after structural relaxation, computed with PBE.

Cell: 5.7620 5.7620 5.4607 Å, 90.00 90.00 120.00°
Last column: magnetic moment on the atom in μB.
Sites, in units of the cell vectors:
Ce  0.0000  0.3490  0.0000  0.06
Mg  0.0000  0.0000  0.5000  0.00
Ce  0.3333  0.6667  0.5000  0.11
Ce  0.3490  0.0000  0.0000  0.06
Ce  0.6667  0.3333  0.5000  0.11
Ce  0.6510  0.6510  0.0000  0.06

Properties
Calculated density ... 7.7 Mg/m³
Total moment ... 0.52 μB per cell
SG ... P-62m (189)

=====

(R)
Ce5Mg after structural relaxation, computed with PBE.

Cell: 8.5451 8.5451 5.7269 Å, 90.00 90.00 158.23°
Sites, in units of the cell vectors:
Ce  0.4636  0.5364  0.5000
Ce  0.1112  0.8888  0.5000
Ce  0.9857  0.0143  0.0000
Ce  0.3265  0.6735  0.0000
Ce  0.6628  0.3372  0.0000
Mg  0.7836  0.2164  0.5000

Properties
Calculated density ... 7.8 Mg/m³
Total moment ... 0.00 μB per cell
SG ... Amm2 (38)

=====

(R) has the most favorable energy; the next structure is 16 meV per atom above.

=====

(P)
CeMg4 after structural relaxation, computed with PBE.

Cell: 3.0969 4.5572 9.2336 Å, 104.29 99.65 90.00°
Last column: magnetic moment on the atom in μB.
Sites, in units of the cell vectors:
Mg  0.7998  0.7998  0.5996  0.00
Mg  0.6140  0.6140  0.2281  0.00
Mg  0.2002  0.2002  0.4004  0.00
Ce  0.0000  0.0000  0.0000  1.08
Mg  0.3860  0.3860  0.7719  0.00

Properties
Calculated density ... 3.2 Mg/m³
Total moment ... 1.39 μB per cell
SG ... Immm (71)

=====

(Q)
CeMg4 after structural relaxation, computed with PBE.

Cell: 5.9717 5.9717 5.9717 Å, 90.00 90.00 90.00°
Last column: magnetic moment on the atom in μB.
Sites, in units of the cell vectors:
Mg  0.5000  0.0000  0.5000  0.02
Mg  0.0000  0.0000  0.0000  -0.01
Mg  0.0000  0.5000  0.5000  0.02
Mg  0.5000  0.5000  0.0000  0.02
Ce  0.5000  0.5000  0.5000  1.40

Properties
Calculated density ... 1.9 Mg/m³
Total moment ... 2.54 μB per cell
SG ... Pm-3m (221)

=====

(P) has the most favorable energy; the next structure is 1153 meV per atom above.

=====

(P)
Ce2MgN after structural relaxation, computed with PBE.

Cell: 3.0667 3.0667 8.5717 Å, 90.00 90.00 90.00°
Last column: magnetic moment on the atom in μB.
Sites, in units of the cell vectors:
Ce  0.0000  0.0000  0.8311  0.29
N  0.5000  0.5000  0.0000  -0.02
Mg  0.5000  0.5000  0.5000  0.00
Ce  0.0000  0.0000  0.1689  0.29

Properties
Calculated density ... 6.6 Mg/m³
Total moment ... 0.62 μB per cell
SG ... P4/mmm (123)

=====

(Q)
Ce2MgN after structural relaxation, computed with PBE.

Cell: 3.3669 3.3669 10.0056 Å, 80.31 80.31 60.00°
Last column: magnetic moment on the atom in μB.
Sites, in units of the cell vectors:
N  0.5000  0.5000  0.5000  -0.02
Ce  0.1176  0.1176  0.6473  0.68
Mg  0.0000  0.0000  0.0000  0.00
Ce  0.8824  0.8824  0.3527  0.68

Properties
Calculated density ... 5.5 Mg/m³
Total moment ... 1.81 μB per cell
SG ... R-3m (166)

=====

(Q) has the most favorable energy; the next structure is 146 meV per atom above.